Dy13Ho2 after structural relaxation. Source: Alexandria, functional PBE.

Lattice parameters (Å, degrees): 6.574 8.894 8.894 65.86 81.59 81.58
Atoms (fractional coordinates):
Dy 0.000 0.000 0.000
Dy 0.104 0.446 0.752
Dy 0.198 0.201 0.201
Dy 0.292 0.627 0.977
Dy 0.309 0.956 0.640
Dy 0.399 0.399 0.402
Dy 0.489 0.169 0.836
Dy 0.511 0.831 0.164
Dy 0.601 0.601 0.598
Dy 0.691 0.044 0.360
Dy 0.708 0.373 0.023
Dy 0.802 0.799 0.799
Dy 0.896 0.554 0.248
Ho 0.097 0.781 0.421
Ho 0.903 0.219 0.579

Calculated values
- Offset from the most stable computed form: 0 meV/atom
- V: 31.150 Å³ per atom
- ρ: 8.68 Mg/m³
- Formation energy from the elements: 70 meV/atom
- Space group: P-1
- DFT total energy: -4.529 eV/atom

=====

TmSc8Ir6 after structural relaxation. Source: Alexandria, functional PBE.

Lattice parameters (Å, degrees): 7.220 7.220 7.220 66.23 66.23 66.23
Atoms (fractional coordinates):
Tm 0.000 0.000 0.000
Sc 0.110 0.776 0.455
Sc 0.224 0.545 0.890
Sc 0.335 0.335 0.335
Sc 0.455 0.110 0.776
Sc 0.545 0.890 0.224
Sc 0.665 0.665 0.665
Sc 0.776 0.455 0.110
Sc 0.890 0.224 0.545
Ir 0.056 0.393 0.719
Ir 0.281 0.944 0.607
Ir 0.393 0.719 0.056
Ir 0.607 0.281 0.944
Ir 0.719 0.056 0.393
Ir 0.944 0.607 0.281

Calculated values
- V: 20.131 Å³ per atom
- ρ: 9.25 Mg/m³
- Formation energy from the elements: -848 meV/atom
- Space group: R-3
- DFT total energy: -8.068 eV/atom

=====

LaTlRhAu after structural relaxation. Source: Alexandria, functional PBE.

Lattice parameters (Å, degrees): 5.033 5.033 5.033 60.00 60.00 60.00
Atoms (fractional coordinates):
La 0.000 0.000 0.000
Tl 0.500 0.500 0.500
Rh 0.750 0.750 0.750
Au 0.250 0.250 0.250

Calculated values
- V: 22.535 Å³ per atom
- ρ: 11.85 Mg/m³
- Formation energy from the elements: -410 meV/atom
- Space group: F-43m
- DFT total energy: -4.891 eV/atom

=====

AcYTh2 after structural relaxation. Source: Alexandria, functional PBE.

Lattice parameters (Å, degrees): 12.966 12.966 12.966 15.90 15.90 15.90
Atoms (fractional coordinates):
Ac 0.000 0.000 0.000
Y 0.500 0.500 0.500
Th 0.091 0.091 0.091
Th 0.909 0.909 0.909

Calculated values
- Offset from the most stable computed form: 137 meV/atom
- V: 35.655 Å³ per atom
- ρ: 9.08 Mg/m³
- Formation energy from the elements: 250 meV/atom
- Space group: R-3m
- DFT total energy: -6.103 eV/atom

=====

Ac12Pr7Dy after structural relaxation. Source: Alexandria, functional PBE.

Lattice parameters (Å, degrees): 10.625 10.625 10.625 109.47 109.47 109.47
Atoms (fractional coordinates):
Ac 0.074 0.793 0.281
Ac 0.207 0.281 0.488
Ac 0.207 0.719 0.926
Ac 0.281 0.074 0.793
Ac 0.281 0.488 0.207
Ac 0.488 0.207 0.281
Ac 0.512 0.793 0.719
Ac 0.719 0.512 0.793
Ac 0.719 0.926 0.207
Ac 0.793 0.281 0.074
Ac 0.793 0.719 0.512
Ac 0.926 0.207 0.719
Pr 0.000 0.000 0.500
Pr 0.000 0.500 0.000
Pr 0.000 0.500 0.500
Pr 0.500 0.000 0.000
Pr 0.500 0.000 0.500
Pr 0.500 0.500 0.000
Pr 0.500 0.500 0.500
Dy 0.000 0.000 0.000

Calculated values
- Offset from the most stable computed form: 437 meV/atom
- V: 46.163 Å³ per atom
- ρ: 6.97 Mg/m³
- Formation energy from the elements: 615 meV/atom
- Space group: Im-3
- DFT total energy: -3.753 eV/atom

=====

LiCaOs2 after structural relaxation. Source: Alexandria, functional PBE.

Lattice parameters (Å, degrees): 2.716 2.716 9.431 90.00 90.00 114.39
Atoms (fractional coordinates):
Li 0.000 0.000 0.000
Ca 0.000 0.000 0.500
Os 0.500 0.500 0.237
Os 0.500 0.500 0.763

Calculated values
- Offset from the most stable computed form: 255 meV/atom
- V: 15.834 Å³ per atom
- ρ: 11.21 Mg/m³
- Formation energy from the elements: 570 meV/atom
- Space group: Cmmm
- DFT total energy: -6.024 eV/atom

=====

CaCuHg2Ru after structural relaxation. Source: Alexandria, functional PBE.

Lattice parameters (Å, degrees): 5.592 5.592 4.994 90.00 90.00 90.00
Atoms (fractional coordinates):
Ca 0.000 0.000 0.000
Cu 0.000 0.000 0.500
Hg 0.000 0.500 0.000
Hg 0.500 0.000 0.000
Ru 0.500 0.500 0.500

Calculated values
- Offset from the most stable computed form: 996 meV/atom
- V: 31.233 Å³ per atom
- ρ: 6.44 Mg/m³
- Formation energy from the elements: 1427 meV/atom
- Space group: P4/mmm
- DFT total energy: -1.769 eV/atom

=====

Ba6GaSi2 after structural relaxation. Source: Alexandria, functional PBE.

Lattice parameters (Å, degrees): 9.926 9.926 9.926 111.20 109.93 107.30
Atoms (fractional coordinates):
Ba 0.025 0.227 0.798
Ba 0.180 0.283 0.462
Ba 0.180 0.717 0.897
Ba 0.321 0.019 0.697
Ba 0.321 0.624 0.303
Ba 0.429 0.227 0.202
Ba 0.571 0.773 0.798
Ba 0.679 0.376 0.697
Ba 0.679 0.981 0.303
Ba 0.820 0.283 0.103
Ba 0.820 0.717 0.538
Ba 0.975 0.773 0.202
Ga 0.000 0.000 0.000
Ga 0.500 0.500 0.000
Si 0.103 0.603 0.500
Si 0.388 0.000 0.388
Si 0.612 0.000 0.612
Si 0.897 0.397 0.500

Calculated values
- V: 41.777 Å³ per atom
- ρ: 4.19 Mg/m³
- Space group: Immm
- DFT total energy: -3.054 eV/atom
- Energy relative to the elements, uncorrected: -2.08 eV/f.u.